DFT (GGA-PBE) results for a relaxed structure of Ca2TlS2.

abc: 8.017 8.017 3.705
angles: 90.00 90.00 90.00
Fractional coordinates of all 10 atoms:
Ca (0.155, 0.655, 0.500)
Ca (0.345, 0.155, 0.500)
Ca (0.845, 0.345, 0.500)
Ca (0.655, 0.845, 0.500)
S (0.648, 0.148, 0.000)
S (0.852, 0.648, 0.000)
S (0.148, 0.352, 0.000)
S (0.352, 0.852, 0.000)
Tl (0.500, 0.500, 0.000)
Tl (0.000, 0.000, 0.000)

---

DFT (GGA-PBE) results for a relaxed structure of Ac2NpPb.

## Properties
Calculated formation energy = 0.481 eV per atom

abc: 3.622 3.622 13.033
angles: 82.01 82.01 60.00
Fractional coordinates of all 4 atoms:
Pb (0.500, 0.500, 0.500)
Ac (0.910, 0.910, 0.271)
Ac (0.090, 0.090, 0.729)
Np (0.000, 0.000, 0.000)

---

DFT (GGA-PBE) results for a relaxed structure of YAlTl2Te4.

abc: 9.047 9.047 9.160
angles: 120.41 120.41 90.37
Fractional coordinates of all 16 atoms:
Tl (0.000, 0.000, 0.500)
Tl (0.500, 0.000, 0.000)
Tl (0.500, 0.500, 0.000)
Tl (0.500, 0.000, 0.500)
Al (0.000, 0.000, 0.000)
Al (0.500, 0.500, 0.500)
Te (0.242, 0.258, 0.041)
Te (0.758, 0.742, 0.959)
Te (0.255, 0.710, 0.483)
Te (0.242, 0.258, 0.459)
Te (0.745, 0.290, 0.517)
Te (0.758, 0.742, 0.541)
Te (0.790, 0.245, 0.017)
Te (0.210, 0.755, 0.983)
Y (0.000, 0.500, 0.000)
Y (0.000, 0.500, 0.500)

---

DFT (GGA-PBE) results for a relaxed structure of Dy2CdO4.

abc: 6.322 6.322 6.322
angles: 107.71 113.06 107.71
Fractional coordinates of all 14 atoms:
O (0.608, 0.730, 0.454)
O (0.142, 0.347, 0.372)
O (0.546, 0.153, 0.276)
O (0.026, 0.653, 0.796)
O (0.724, 0.270, 0.878)
O (0.628, 0.770, 0.974)
O (0.122, 0.847, 0.392)
O (0.204, 0.230, 0.858)
Dy (0.875, 0.067, 0.442)
Dy (0.192, 0.567, 0.125)
Dy (0.558, 0.433, 0.625)
Dy (0.375, 0.933, 0.808)
Cd (0.000, 0.000, 0.000)
Cd (0.750, 0.500, 0.250)

---

DFT (GGA-PBE) results for a relaxed structure of Ce4Sb2C.

abc: 6.471 6.564 9.618
angles: 90.00 111.11 90.00
Fractional coordinates of all 14 atoms:
Ce (0.082, 0.750, 0.350)
Ce (0.918, 0.250, 0.650)
Ce (0.547, 0.022, 0.288)
Ce (0.152, 0.750, 0.956)
Ce (0.848, 0.250, 0.044)
Ce (0.453, 0.978, 0.712)
Ce (0.547, 0.478, 0.288)
Ce (0.453, 0.522, 0.712)
Sb (0.705, 0.750, 0.035)
Sb (0.832, 0.750, 0.596)
Sb (0.168, 0.250, 0.404)
Sb (0.295, 0.250, 0.965)
C (0.313, 0.750, 0.215)
C (0.687, 0.250, 0.785)

---

DFT (GGA-PBE) results for a relaxed structure of BaCaRe2.

## Properties
Calculated formation energy = 1.306 eV per atom

abc: 6.055 6.055 2.897
angles: 84.88 84.88 123.95
Fractional coordinates of all 4 atoms:
Re (0.500, 0.500, 0.000)
Re (0.000, 0.000, 0.000)
Ca (0.000, 0.500, 0.500)
Ba (0.500, 0.000, 0.500)

---

DFT (GGA-PBE) results for a relaxed structure of Er6CuSn2.

## Properties
Calculated formation energy = -0.413 eV per atom

abc: 3.867 8.480 8.479
angles: 120.00 90.00 90.00
Fractional coordinates of all 9 atoms:
Er (0.000, 0.753, 0.753)
Er (0.500, 0.400, 0.400)
Er (0.000, 0.000, 0.247)
Er (0.500, 0.000, 0.600)
Er (0.500, 0.600, 0.000)
Er (0.000, 0.247, 0.000)
Cu (0.500, 0.000, 0.000)
Sn (0.000, 0.667, 0.333)
Sn (0.000, 0.333, 0.667)

---

no.,E (eV per atom)
1,-4.28
2,-5.74
3,-4.07
4,-7.01
5,-6.50
6,-5.90
7,-4.80